VASP calculation (PBE) on a relaxed GdGaO3 crystal.

abc: 5.5373 5.5074 8.4285
angles: 90.00 90.00 90.00
Fractional positions:
Ga 0.4755 0.4959 0.2500
Ga 0.0245 0.9959 0.2500
Ga 0.9755 0.0041 0.7500
Ga 0.5245 0.5041 0.7500
Gd 0.5000 0.0000 0.0000
Gd 0.0000 0.5000 0.0000
Gd 0.5000 0.0000 0.5000
Gd 0.0000 0.5000 0.5000
O 0.6433 0.3557 0.0870
O 0.8567 0.8557 0.0870
O 0.1511 0.3269 0.2500
O 0.3489 0.8269 0.2500
O 0.6433 0.3557 0.4130
O 0.8567 0.8557 0.4130
O 0.1433 0.1443 0.5870
O 0.3567 0.6443 0.5870
O 0.6511 0.1731 0.7500
O 0.8489 0.6731 0.7500
O 0.1433 0.1443 0.9130
O 0.3567 0.6443 0.9130

---

VASP calculation (PBE) on a relaxed La3Si4Ni2Ag2 crystal.

abc: 12.7124 12.7124 12.7124
angles: 161.01 160.53 27.32
Fractional positions:
Ag 0.3984 0.3984 0.0000
Ag 0.6016 0.6016 0.0000
La 0.1563 0.1563 0.0000
La 0.8437 0.8437 0.0000
La 0.5000 0.0000 0.5000
Ni 0.7495 0.2495 0.5000
Ni 0.2505 0.7505 0.5000
Si 0.2936 0.2936 0.0000
Si 0.7064 0.7064 0.0000
Si 0.9518 0.4518 0.5000
Si 0.0482 0.5482 0.5000

---

VASP calculation (PBE) on a relaxed TmLuNb2Si2 crystal.

abc: 3.9828 3.9828 7.6127
angles: 90.00 90.00 90.00
Last column: magnetic moment on the atom in μB.
Fractional positions:
Lu 0.0000 0.0000 0.3530  0.24
Nb 0.5000 0.0000 0.0004  0.07
Nb 0.0000 0.5000 0.0004  0.07
Si 0.5000 0.5000 0.2467  -0.01
Si 0.0000 0.0000 0.7541  -0.01
Tm 0.5000 0.5000 0.6455  0.28

---

VASP calculation (PBE) on a relaxed TcBNO crystal.

abc: 4.5688 2.6569 5.5913
angles: 90.00 90.00 90.00
Fractional positions:
B 0.9800 0.5000 0.3980
B 0.4800 0.5000 0.6020
N 0.6438 0.5000 0.3686
N 0.1438 0.5000 0.6314
O 0.0889 0.0000 0.2734
O 0.5889 0.0000 0.7266
Tc 0.5333 0.0000 0.0992
Tc 0.0333 0.0000 0.9008

---

VASP calculation (PBE) on a relaxed Dy2Ga5Ni3 crystal.

abc: 8.3368 8.3368 8.3368
angles: 107.84 84.98 141.36
Fractional positions:
Dy 0.3564 0.7226 0.0791
Dy 0.1436 0.2226 0.3662
Dy 0.8564 0.7774 0.6338
Dy 0.6436 0.2774 0.9209
Ga 0.2500 0.2500 0.0000
Ga 0.7500 0.7500 0.0000
Ga 0.9114 0.3265 0.2379
Ga 0.5412 0.2500 0.2912
Ga 0.0412 0.7500 0.2912
Ga 0.5886 0.8265 0.4151
Ga 0.4114 0.1735 0.5849
Ga 0.9588 0.2500 0.7088
Ga 0.4588 0.7500 0.7088
Ga 0.0886 0.6735 0.7621
Ni 0.1450 0.9076 0.0526
Ni 0.6450 0.5924 0.2373
Ni 0.7500 0.2500 0.5000
Ni 0.2500 0.7500 0.5000
Ni 0.3550 0.4076 0.7627
Ni 0.8550 0.0924 0.9474

---

VASP calculation (PBE) on a relaxed GdZrAs3 crystal.

abc: 7.0580 7.0580 7.0580
angles: 131.82 92.59 106.74
Fractional positions:
As 0.6482 0.0000 0.1482
As 0.8761 0.6261 0.2500
As 0.3518 0.5000 0.3518
As 0.6482 0.5000 0.6482
As 0.1239 0.3739 0.7500
As 0.3518 0.0000 0.8518
Gd 0.2217 0.9717 0.2500
Gd 0.7783 0.0283 0.7500
Zr 0.5000 0.5000 0.0000
Zr 0.0000 0.5000 0.5000

---

VASP calculation (PBE) on a relaxed La2CoNiSn4 crystal.

abc: 4.5731 9.3927 9.3927
angles: 27.92 90.00 90.00
Fractional positions:
Co 0.0000 0.1831 0.1831
La 0.0000 0.3897 0.3897
La 0.5000 0.6096 0.6096
Ni 0.5000 0.8179 0.8179
Sn 0.0000 0.0483 0.0483
Sn 0.5000 0.2486 0.2486
Sn 0.0000 0.7496 0.7496
Sn 0.5000 0.9533 0.9533

---

VASP calculation (PBE) on a relaxed FeS crystal.

abc: 3.5830 3.5830 11.6781
angles: 90.00 90.00 90.01
Fractional positions:
Fe 0.3808 0.1192 0.2500
Fe 0.8808 0.6192 0.2500
Fe 0.1192 0.3808 0.7500
Fe 0.6192 0.8808 0.7500
S 0.8807 0.1193 0.1455
S 0.3807 0.6193 0.3545
S 0.6193 0.3807 0.6455
S 0.1193 0.8807 0.8545

---

Summary of size of the total moment in Bohr magnetons per cell
0.00, 0.01, 0.95, 0.04, 0.00, 0.08, 0.01, 0.01
(order as listed above)
Summary of E in eV for the cell shown
-140.74, -60.41, -43.84, -67.03, -94.41, -61.83, -43.31, -53.88
(order as listed above)